Computed, not measured: CaMg2Ag after structural relaxation at the PBEsol level of DFT.

- DFT total energy (eV/atom) = -2.211

abc: 6.0587 10.7839 3.2640
angles: 90.00 117.18 90.00
Space group C2/m (No. 12)
Asymmetric unit:
1 Ca 0.0000 0.0000 0.0000 [2 per cell]
2 Mg 0.2500 0.2500 0.5000 [4 per cell]
3 Ag 0.0000 0.5000 0.0000 [2 per cell]

=====

Computed, not measured: Be2CdTe after structural relaxation at the PBEsol level of DFT.

- E above lowest polymorph (eV/f.u.) = 1.075

abc: 4.3951 4.3951 3.5646
angles: 90.00 90.00 90.00
Space group P4/mmm (No. 123)
Asymmetric unit:
1 Be 0.0000 0.5000 0.0000 [2 per cell]
2 Cd 0.0000 0.0000 0.5000 [1 per cell]
3 Te 0.5000 0.5000 0.5000 [1 per cell]

=====

Computed, not measured: Sc2MnCd after structural relaxation at the PBEsol level of DFT.

- DFT total energy (eV/atom) = -6.037

abc: 3.3456 4.7855 4.7856
angles: 90.00 90.00 90.00
Space group Pmm2 (No. 25)
Asymmetric unit:
1 Sc 0.0000 0.0000 0.0000 [1 per cell]
2 Sc 0.0000 0.5000 0.4985 [1 per cell]
3 Mn 0.5000 0.5000 0.9973 [1 per cell]
4 Cd 0.5000 0.0000 0.5005 [1 per cell]